Entry from Alexandria: a geometry-optimized PmSm2PaRu2 structure (PBE-GGA).

## Properties
* calculated density: 8.9 Mg/m³
* electronic total energy: -87.6 eV for the cell shown
* N(E_F): 1.042 states/eV/atom
* formation energy: -0.260 eV/atom

```
PmSm2PaRu2
1.0
6.824 0.000 0.000
0.000 7.084 0.000
-3.412 -3.542 6.785
Pa Sm Ru Pm
2 4 4 2
Direct
0.750 0.500 0.000 Pa
0.250 0.500 0.000 Pa
0.803 0.499 0.606 Sm
0.197 0.501 0.394 Sm
0.697 0.893 0.394 Sm
0.303 0.107 0.606 Sm
0.902 0.198 0.804 Ru
0.098 0.802 0.196 Ru
0.598 0.395 0.196 Ru
0.402 0.605 0.804 Ru
0.250 0.000 0.000 Pm
0.750 0.000 0.000 Pm
```

---

Entry from Alexandria: a geometry-optimized Pm2SmPaRu2 structure (PBE-GGA).

## Properties
* calculated density: 8.9 Mg/m³
* electronic total energy: -87.7 eV for the cell shown
* N(E_F): 1.098 states/eV/atom
* formation energy: -0.267 eV/atom

```
Pm2SmPaRu2
1.0
-3.013 5.034 -3.518
-5.639 -4.095 -1.031
1.571 1.882 7.999
Ru Sm Pm Pa
4 2 4 2
Direct
0.903 0.197 0.806 Ru
0.097 0.803 0.194 Ru
0.597 0.391 0.194 Ru
0.403 0.609 0.806 Ru
0.750 0.000 0.000 Sm
0.250 0.000 0.000 Sm
0.695 0.903 0.391 Pm
0.805 0.512 0.609 Pm
0.305 0.097 0.609 Pm
0.195 0.488 0.391 Pm
0.750 0.500 0.000 Pa
0.250 0.500 0.000 Pa
```

---

Entry from Alexandria: a geometry-optimized TbPm2Pa2Ru5 structure (PBE-GGA).

## Properties
* calculated density: 11.0 Mg/m³
* electronic total energy: -164.5 eV for the cell shown
* N(E_F): 0.697 states/eV/atom
* formation energy: -0.277 eV/atom

```
TbPm2Pa2Ru5
1.0
-2.046 -0.132 -3.076
8.920 -0.950 -5.894
-0.580 -10.684 0.843
Pa Tb Ru Pm
4 2 10 4
Direct
0.000 0.634 0.866 Pa
0.000 0.866 0.366 Pa
0.000 0.366 0.134 Pa
0.000 0.134 0.634 Pa
0.000 0.000 0.000 Tb
0.000 0.500 0.500 Tb
0.500 0.289 0.553 Ru
0.500 0.500 0.000 Ru
0.500 0.711 0.447 Ru
0.500 0.000 0.500 Ru
0.500 0.947 0.211 Ru
0.500 0.053 0.789 Ru
0.500 0.553 0.711 Ru
0.500 0.447 0.289 Ru
0.500 0.211 0.053 Ru
0.500 0.789 0.947 Ru
0.000 0.326 0.826 Pm
0.000 0.826 0.674 Pm
0.000 0.674 0.174 Pm
0.000 0.174 0.326 Pm
```

---

Entry from Alexandria: a geometry-optimized Pm2ThPa2Ru5 structure (PBE-GGA).

## Properties
* calculated density: 11.5 Mg/m³
* electronic total energy: -171.4 eV for the cell shown
* N(E_F): 0.688 states/eV/atom
* formation energy: -0.342 eV/atom

```
Pm2ThPa2Ru5
1.0
3.772 0.000 0.000
0.000 10.674 0.000
0.000 0.000 10.674
Ru Pm Pa Th
10 4 4 2
Direct
0.500 0.443 0.293 Ru
0.500 0.293 0.557 Ru
0.500 0.943 0.207 Ru
0.500 0.557 0.707 Ru
0.500 0.793 0.943 Ru
0.500 0.000 0.500 Ru
0.500 0.057 0.793 Ru
0.500 0.207 0.057 Ru
0.500 0.500 0.000 Ru
0.500 0.707 0.443 Ru
0.000 0.675 0.175 Pm
0.000 0.325 0.825 Pm
0.000 0.825 0.675 Pm
0.000 0.175 0.325 Pm
0.000 0.132 0.632 Pa
0.000 0.368 0.132 Pa
0.000 0.632 0.868 Pa
0.000 0.868 0.368 Pa
0.000 0.000 0.000 Th
0.000 0.500 0.500 Th
```

---

Entry from Alexandria: a geometry-optimized PmY2PaRu2 structure (PBE-GGA).

## Properties
* calculated density: 7.7 Mg/m³
* electronic total energy: -94.7 eV for the cell shown
* N(E_F): 0.780 states/eV/atom
* formation energy: -0.271 eV/atom

```
PmY2PaRu2
1.0
-0.039 0.458 6.727
-3.227 -6.311 0.411
7.694 -0.156 -3.324
Y Pm Ru Pa
4 2 4 2
Direct
0.701 0.875 0.403 Y
0.299 0.125 0.597 Y
0.799 0.472 0.597 Y
0.201 0.528 0.403 Y
0.250 0.000 0.000 Pm
0.750 0.000 0.000 Pm
0.101 0.800 0.203 Ru
0.399 0.597 0.797 Ru
0.899 0.200 0.797 Ru
0.601 0.403 0.203 Ru
0.750 0.500 0.000 Pa
0.250 0.500 0.000 Pa
```

---

Entry from Alexandria: a geometry-optimized Pm2PaZnRu2 structure (PBE-GGA).

## Properties
* calculated density: 9.1 Mg/m³
* electronic total energy: -81.6 eV for the cell shown
* N(E_F): 0.779 states/eV/atom
* formation energy: -0.326 eV/atom

```
Pm2PaZnRu2
1.0
6.983 0.000 0.000
0.000 6.822 0.000
-3.492 -3.411 6.037
Ru Zn Pm Pa
4 2 4 2
Direct
0.181 0.927 0.854 Ru
0.327 0.573 0.146 Ru
0.819 0.073 0.146 Ru
0.673 0.427 0.854 Ru
0.000 0.250 0.000 Zn
0.000 0.750 0.000 Zn
0.973 0.310 0.619 Pm
0.354 0.190 0.381 Pm
0.027 0.690 0.381 Pm
0.646 0.810 0.619 Pm
0.500 0.750 0.000 Pa
0.500 0.250 0.000 Pa
```